Record 1
VASP calculation (PBE-GGA) on a relaxed structure of AlBN3.

```
5
Lattice="3.7096 0.0000 0.0000 0.0000 3.7096 0.0000 0.0000 0.0000 3.7096" Properties=species:S:1:pos:R:3 pbc="T T T"
Al 0.0000 0.0000 0.0000
B 1.8548 1.8548 1.8548
N 0.0000 0.0000 1.8548
N 0.0000 1.8548 0.0000
N 1.8548 0.0000 0.0000
```

Values from the calculation:
DOS(E_F), states/eV/cell: 4.48
Calculated volume, Å³ per atom: 10.21
ΔE_f (raw), kJ per mole of atoms: 204
DFT total energy, eV for the cell shown: -24.82

***

Record 2
VASP calculation (PBE-GGA) on a relaxed structure of AlBN.

```
6
Lattice="4.3242 0.0000 0.0000 0.0000 3.0367 0.0000 -0.0384 0.0000 4.3682" Properties=species:S:1:pos:R:3 pbc="T T T"
Al 0.9626 0.7592 0.5424
Al 3.3232 2.2775 3.8257
B 1.7632 2.2775 2.4115
B 2.5225 0.7592 1.9567
N 0.9491 2.2775 3.7146
N 3.3366 0.7592 0.6535
```

Values from the calculation:
DOS(E_F), states/eV/cell: 1.13
Calculated volume, Å³ per atom: 9.56
ΔE_f (raw), kJ per mole of atoms: -53
DFT total energy, eV for the cell shown: -40.80

***

Record 3
VASP calculation (PBE-GGA) on a relaxed structure of AlB3N.

```
5
Lattice="4.1577 0.0000 0.0000 0.0000 4.1577 0.0000 0.0000 0.0000 4.1577" Properties=species:S:1:pos:R:3 pbc="T T T"
Al 0.0000 0.0000 0.0000
B 0.0000 0.0000 2.0789
B 0.0000 2.0789 0.0000
B 2.0789 0.0000 0.0000
N 2.0789 2.0789 2.0789
```

Values from the calculation:
DOS(E_F), states/eV/cell: 2.26
Calculated volume, Å³ per atom: 14.37
ΔE_f (raw), kJ per mole of atoms: 271
DFT total energy, eV for the cell shown: -18.03
Energy above the most stable polymorph in this dataset, meV/atom: 1135

***

Record 4
VASP calculation (PBE-GGA) on a relaxed structure of AlBN2.

```
4
Lattice="0.0000 2.4934 2.4934 2.4934 0.0000 2.4934 2.4934 2.4934 0.0000" Properties=species:S:1:pos:R:3 pbc="T T T"
Al 0.0000 0.0000 0.0000
B 2.4934 2.4934 2.4934
N 1.2467 1.2467 1.2467
N 3.7401 3.7401 3.7401
```

Values from the calculation:
DOS(E_F), states/eV/cell: 1.72
Calculated volume, Å³ per atom: 7.75
ΔE_f (raw), kJ per mole of atoms: 137
DFT total energy, eV for the cell shown: -21.38
Energy above the most stable polymorph in this dataset, meV/atom: 2503

***

Record 5
VASP calculation (PBE-GGA) on a relaxed structure of Nd3AlB2N6.

```
12
Lattice="5.3764 0.0000 0.0000 -2.6882 4.6561 0.0000 0.0000 0.0000 6.1427" Properties=species:S:1:pos:R:3 pbc="T T T"
Nd 0.0000 0.0000 0.0000
Nd 0.0000 3.1041 4.1018
Nd 2.6882 1.5520 2.0409
Al 0.0000 0.0000 3.0713
B 0.0000 3.1041 1.6413
B 2.6882 1.5520 4.5014
N 0.0000 1.6497 1.8124
N -1.2595 3.8313 1.8124
N 1.4287 0.8248 4.3303
N 1.2595 3.8313 1.8124
N 3.9477 0.8248 4.3303
N 2.6882 3.0064 4.3303
```

Values from the calculation:
DOS(E_F), states/eV/cell: 0.34
Calculated volume, Å³ per atom: 12.81
ΔE_f (raw), kJ per mole of atoms: -107
DFT total energy, eV for the cell shown: -94.66

***

Record 6
VASP calculation (PBE-GGA) on a relaxed structure of Pr3AlB2N6.

```
12
Lattice="5.3993 0.0000 0.0000 -2.6997 4.6760 0.0000 0.0000 0.0000 6.1998" Properties=species:S:1:pos:R:3 pbc="T T T"
Pr 0.0000 0.0000 0.0000
Pr 0.0000 3.1173 4.1448
Pr 2.6997 1.5587 2.0549
Al 0.0000 0.0000 3.0999
B 0.0000 3.1173 1.6681
B 2.6997 1.5587 4.5317
N 0.0000 1.6593 1.8360
N -1.2627 3.8463 1.8360
N 1.4370 0.8297 4.3638
N 1.2627 3.8463 1.8360
N 3.9623 0.8297 4.3638
N 2.6997 3.0167 4.3638
```

Values from the calculation:
DOS(E_F), states/eV/cell: 0.36
Calculated volume, Å³ per atom: 13.04
ΔE_f (raw), kJ per mole of atoms: -105
DFT total energy, eV for the cell shown: -94.42

***

Record 7
VASP calculation (PBE-GGA) on a relaxed structure of AlBRu2N.

```
5
Lattice="4.0287 0.0000 0.0000 0.0000 4.0287 0.0000 0.0000 0.0000 3.9321" Properties=species:S:1:pos:R:3 pbc="T T T"
Al 0.0000 0.0000 0.0000
B 0.0000 0.0000 1.9661
Ru 0.0000 2.0143 1.9661
Ru 2.0143 0.0000 1.9661
N 2.0143 2.0143 0.0000
```

Values from the calculation:
DOS(E_F), states/eV/cell: 4.83
Calculated volume, Å³ per atom: 12.76
ΔE_f (raw), kJ per mole of atoms: 99
DFT total energy, eV for the cell shown: -32.16

***

Record 8
VASP calculation (PBE-GGA) on a relaxed structure of AlBSeN2.

```
5
Lattice="3.2796 0.0000 0.0000 0.0000 3.2796 0.0000 0.0000 0.0000 6.3151" Properties=species:S:1:pos:R:3 pbc="T T T"
Al 0.0000 0.0000 0.0000
B 1.6398 1.6398 3.1575
Se 1.6398 1.6398 0.0000
N 0.0000 1.6398 3.1575
N 1.6398 0.0000 3.1575
```

Values from the calculation:
DOS(E_F), states/eV/cell: 1.45
Calculated volume, Å³ per atom: 13.58
ΔE_f (raw), kJ per mole of atoms: 91
DFT total energy, eV for the cell shown: -25.86
Energy above the most stable polymorph in this dataset, meV/atom: 0

***

Record 9
VASP calculation (PBE-GGA) on a relaxed structure of AlBSeN2.

```
5
Lattice="3.5056 0.0000 0.0000 0.0000 3.5056 0.0000 0.0000 0.0000 7.0427" Properties=species:S:1:pos:R:3 pbc="T T T"
Al 0.0000 0.0000 0.0000
B 1.7528 1.7528 3.5214
Se 0.0000 0.0000 3.5214
N 0.0000 1.7528 0.0000
N 1.7528 0.0000 0.0000
```

Values from the calculation:
DOS(E_F), states/eV/cell: 2.34
Calculated volume, Å³ per atom: 17.31
ΔE_f (raw), kJ per mole of atoms: 127
DFT total energy, eV for the cell shown: -23.99
Energy above the most stable polymorph in this dataset, meV/atom: 374

***

Record 10
VASP calculation (PBE-GGA) on a relaxed structure of Sm3AlB2N6.

```
12
Lattice="5.3395 0.0000 0.0000 -2.6698 4.6242 0.0000 0.0000 0.0000 6.0472" Properties=species:S:1:pos:R:3 pbc="T T T"
Sm 0.0000 0.0000 0.0000
Sm 0.0000 3.0828 4.0314
Sm 2.6698 1.5414 2.0158
Al 0.0000 0.0000 3.0236
B 0.0000 3.0828 1.5965
B 2.6698 1.5414 4.4507
N 0.0000 1.6342 1.7720
N -1.2545 3.8071 1.7720
N 1.4152 0.8171 4.2752
N 1.2545 3.8071 1.7720
N 3.9243 0.8171 4.2752
N 2.6698 2.9900 4.2752
```

Values from the calculation:
DOS(E_F), states/eV/cell: 0.33
Calculated volume, Å³ per atom: 12.44
ΔE_f (raw), kJ per mole of atoms: -110
DFT total energy, eV for the cell shown: -94.90

***

Record 11
VASP calculation (PBE-GGA) on a relaxed structure of SrAl2BN.

```
5
Lattice="4.0082 0.0000 0.0000 0.0000 4.0082 0.0000 0.0000 0.0000 5.5844" Properties=species:S:1:pos:R:3 pbc="T T T"
Sr 0.0000 0.0000 0.0000
Al 0.0000 2.0041 2.7922
Al 2.0041 0.0000 2.7922
B 2.0041 2.0041 0.0000
N 2.0041 2.0041 2.7922
```

Values from the calculation:
DOS(E_F), states/eV/cell: 2.87
Calculated volume, Å³ per atom: 17.94
ΔE_f (raw), kJ per mole of atoms: 65
DFT total energy, eV for the cell shown: -20.79

***

Record 12
VASP calculation (PBE-GGA) on a relaxed structure of AlBTe2N.

```
5
Lattice="6.5235 0.0000 0.0000 0.0000 6.5235 0.0000 0.0000 0.0000 2.7221" Properties=species:S:1:pos:R:3 pbc="T T T"
Al 0.0000 0.0000 0.0000
B 3.2617 3.2617 1.3610
Te 0.0000 3.2617 1.3610
Te 3.2617 0.0000 1.3610
N 3.2617 3.2617 0.0000
```

Values from the calculation:
DOS(E_F), states/eV/cell: 2.08
Calculated volume, Å³ per atom: 23.17
ΔE_f (raw), kJ per mole of atoms: 18
DFT total energy, eV for the cell shown: -24.10
Energy above the most stable polymorph in this dataset, meV/atom: 0